[1]
# CaRuN2F

An optimized crystal structure of CaRuN2F (PBE, Alexandria via LeMat-Bulk).

a b c (Å): 3.8431 3.8431 4.4341
angles (deg): 90.00 90.00 90.00
Last column: nearest neighbours and their distance in Å.
Element x y z (fractional)
Ru 0.0000 0.0000 0.0000  4 N 1.92
Ca 0.5000 0.5000 0.5000  4 F 2.72, 8 N 2.93
N 0.0000 0.5000 0.0000  2 Ru 1.92
N 0.5000 0.0000 0.0000  2 Ru 1.92
F 0.0000 0.0000 0.5000  2 Ru 2.22

Computed properties:
The space group is P4/mmm. The raw formation energy comes out at -0.60 eV per atom. Its volume is 13.10 Å³ per atom. The calculation puts the mass density at 4.8 Mg/m³. The total moment is 0.03 μB/atom.

[2]
# Sr2NdAu

An optimized crystal structure of Sr2NdAu (PBE, Alexandria via LeMat-Bulk).

a b c (Å): 3.9961 3.9961 11.8857
angles (deg): 80.32 80.32 60.00
Last column: nearest neighbours and their distance in Å.
Element x y z (fractional)
Nd 0.0000 0.0000 0.0000  2 Sr 3.76, 6 Nd 4.00
Au 0.5000 0.5000 0.5000  6 Sr 3.10
Sr 0.1076 0.1076 0.6772  3 Au 3.10
Sr 0.8924 0.8924 0.3228  3 Au 3.10

Computed properties:
The space group is R-3m. The calculation puts the energy of formation at -0.06 eV per atom. Its volume is 40.31 Å³ per atom. The calculation puts the mass density at 5.3 Mg/m³. The total moment is 0.00 μB/atom.

[3]
# Zn2NiTe

An optimized crystal structure of Zn2NiTe (PBE, Alexandria via LeMat-Bulk).

a b c (Å): 2.9583 2.9583 8.9211
angles (deg): 90.00 90.00 90.02
Last column: nearest neighbours and their distance in Å.
Element x y z (fractional)
Ni 0.5000 0.5000 0.2500  8 Zn 2.51
Te 0.5000 0.5000 0.7500  4 Te 2.96
Zn 0.0000 0.0000 0.0939  4 Ni 2.51, 1 Zn 2.79
Zn 0.0000 0.0000 0.4061  4 Ni 2.51, 1 Zn 2.79

Computed properties:
The space group is P4/mmm. The raw formation energy comes out at 0.08 eV per atom. Its volume is 19.52 Å³ per atom. The calculation puts the mass density at 6.7 Mg/m³. The total moment is 0.00 μB/atom.

[4]
# MgPPb3

An optimized crystal structure of MgPPb3 (PBE, Alexandria via LeMat-Bulk).

a b c (Å): 5.4807 5.4807 5.4807
angles (deg): 90.00 90.00 90.00
Last column: nearest neighbours and their distance in Å.
Element x y z (fractional)
Pb 0.0000 0.5000 0.0000  2 P 2.74
Pb 0.0000 0.0000 0.5000  2 P 2.74
Pb 0.5000 0.0000 0.0000  2 P 2.74
P 0.0000 0.0000 0.0000  6 Pb 2.74
Mg 0.5000 0.5000 0.5000  12 Pb 3.88

Computed properties:
The space group is Pm-3m. The calculation puts the energy of formation at 0.41 eV per atom. Its volume is 32.93 Å³ per atom. The calculation puts the mass density at 6.8 Mg/m³. The total moment is 0.00 μB/atom.

[5]
# YZr3Ir

An optimized crystal structure of YZr3Ir (PBE, Alexandria via LeMat-Bulk).

a b c (Å): 5.1310 5.1310 5.1310
angles (deg): 90.00 90.00 90.00
Last column: nearest neighbours and their distance in Å.
Element x y z (fractional)
Y 0.5000 0.5000 0.5000  12 Zr 3.63
Ir 0.0000 0.0000 0.0000  6 Zr 2.57
Zr 0.0000 0.5000 0.0000  2 Ir 2.57
Zr 0.0000 0.0000 0.5000  2 Ir 2.57
Zr 0.5000 0.0000 0.0000  2 Ir 2.57

Computed properties:
The space group is Pm-3m. The calculation puts the energy of formation at 0.03 eV per atom. Its volume is 27.02 Å³ per atom. The calculation puts the mass density at 6.8 Mg/m³. The total moment is 0.00 μB/atom.

[6]
# HfOF3

An optimized crystal structure of HfOF3 (PBE, Alexandria via LeMat-Bulk).

a b c (Å): 4.0511 4.0511 4.0511
angles (deg): 90.00 90.00 90.00
Last column: nearest neighbours and their distance in Å.
Element x y z (fractional)
Hf 0.0000 0.0000 0.0000  6 F 2.03
O 0.5000 0.5000 0.5000  12 F 2.86
F 0.0000 0.5000 0.0000  2 Hf 2.03
F 0.0000 0.0000 0.5000  2 Hf 2.03
F 0.5000 0.0000 0.0000  2 Hf 2.03

Computed properties:
The space group is Pm-3m. The raw formation energy comes out at -2.47 eV per atom. Its volume is 13.30 Å³ per atom. The calculation puts the mass density at 6.3 Mg/m³. The total moment is 0.20 μB/atom.

[7]
# CuPb3W

An optimized crystal structure of CuPb3W (PBE, Alexandria via LeMat-Bulk).

a b c (Å): 5.4142 5.4142 5.4142
angles (deg): 90.00 90.00 90.00
Last column: nearest neighbours and their distance in Å.
Element x y z (fractional)
Pb 0.0000 0.5000 0.0000  2 W 2.71
Pb 0.0000 0.0000 0.5000  2 W 2.71
Pb 0.5000 0.0000 0.0000  2 W 2.71
Cu 0.5000 0.5000 0.5000  12 Pb 3.83
W 0.0000 0.0000 0.0000  6 Pb 2.71

Computed properties:
The space group is Pm-3m. The calculation puts the energy of formation at 0.94 eV per atom. Its volume is 31.74 Å³ per atom. The calculation puts the mass density at 9.1 Mg/m³. The total moment is 0.20 μB/atom.

[8]
# LaHSe2

An optimized crystal structure of LaHSe2 (PBE, Alexandria via LeMat-Bulk).

a b c (Å): 6.8206 6.8206 6.0121
angles (deg): 55.44 55.44 90.00
Last column: nearest neighbours and their distance in Å.
Element x y z (fractional)
H 0.5000 0.5000 0.0000  4 Se 2.23
H 0.2500 0.7500 0.5000  4 Se 2.23
Se 0.5386 0.1250 0.2500  2 H 2.23
Se 0.2114 0.6250 0.2500  2 H 2.23
Se 0.3750 0.4614 0.7500  2 H 2.23
Se 0.8750 0.7886 0.7500  2 H 2.23
La 0.0000 0.0000 0.0000  4 Se 3.00
La 0.7500 0.2500 0.5000  4 Se 3.00

Computed properties:
The energy comes out at -18.17 eV per formula unit. The space group is I-42d. Its volume is 20.87 Å³ per atom. The calculation puts the mass density at 5.9 Mg/m³. The total moment is 0.00 μB/atom.

[9]
# PrThMo4

An optimized crystal structure of PrThMo4 (PBE, Alexandria via LeMat-Bulk).

a b c (Å): 5.6098 5.6098 5.6098
angles (deg): 60.00 60.00 60.00
Last column: nearest neighbours and their distance in Å.
Element x y z (fractional)
Pr 0.0000 0.0000 0.0000  12 Mo 3.29, 4 Th 3.44
Mo 0.6248 0.6248 0.1256  6 Mo 2.80-2.81
Mo 0.6248 0.1256 0.6248  6 Mo 2.80-2.81
Mo 0.6248 0.6248 0.6248  6 Mo 2.80-2.81
Mo 0.1256 0.6248 0.6248  6 Mo 2.80-2.81
Th 0.2500 0.2500 0.2500  12 Mo 3.29, 4 Pr 3.44

Computed properties:
The space group is F-43m. The calculation puts the energy of formation at 0.19 eV per atom. Its volume is 20.81 Å³ per atom. The calculation puts the mass density at 10.1 Mg/m³. The total moment is 0.00 μB/atom.

[10]
# Er2Tm6Hf

An optimized crystal structure of Er2Tm6Hf (PBE, Alexandria via LeMat-Bulk).

a b c (Å): 3.4804 3.4804 30.8085
angles (deg): 90.00 90.00 120.00
Last column: nearest neighbours and their distance in Å.
Element x y z (fractional)
Er 0.3333 0.6667 0.2670  6 Tm 3.42-3.47, 6 Er 3.48
Er 0.3333 0.6667 0.7330  6 Tm 3.42-3.47, 6 Er 3.48
Tm 0.3333 0.6667 0.9176  3 Hf 3.24, 9 Tm 3.48-3.50
Tm 0.0000 0.0000 0.3569  3 Er 3.42, 6 Tm 3.48
Tm 0.0000 0.0000 0.8248  3 Er 3.47, 9 Tm 3.48-3.50
Tm 0.0000 0.0000 0.1752  3 Er 3.47, 9 Tm 3.48-3.50
Tm 0.0000 0.0000 0.6431  3 Er 3.42, 6 Tm 3.48
Tm 0.3333 0.6667 0.0824  3 Hf 3.24, 9 Tm 3.48-3.50
Hf 0.0000 0.0000 0.0000  6 Tm 3.24, 6 Hf 3.48

Computed properties:
The space group is P-6m2. The calculation puts the energy of formation at 0.19 eV per atom. Its volume is 35.91 Å³ per atom. The calculation puts the mass density at 7.8 Mg/m³. The total moment is 0.21 μB/atom.

[11]
# Y2TmZn2Ga2

An optimized crystal structure of Y2TmZn2Ga2 (PBE, Alexandria via LeMat-Bulk).

a b c (Å): 4.4051 4.4051 9.6049
angles (deg): 76.74 76.74 60.00
Last column: nearest neighbours and their distance in Å.
Element x y z (fractional)
Y 0.1249 0.1249 0.6252  3 Ga 3.01, 3 Zn 3.13
Y 0.8751 0.8751 0.3748  3 Ga 3.01, 3 Zn 3.13
Tm 0.0000 0.0000 0.0000  6 Zn 3.03, 6 Ga 3.15
Zn 0.6071 0.6071 0.1786  3 Ga 2.55
Zn 0.3929 0.3929 0.8214  3 Ga 2.55
Ga 0.7334 0.7334 0.7999  3 Zn 2.55
Ga 0.2666 0.2666 0.2001  3 Zn 2.55

Computed properties:
The space group is R-3m. The calculation puts the energy of formation at -0.41 eV per atom. Its volume is 22.24 Å³ per atom. The calculation puts the mass density at 6.6 Mg/m³. The total moment is 0.00 μB/atom.

[12]
# K3SiO4

An optimized crystal structure of K3SiO4 (PBE, Alexandria via LeMat-Bulk).

a b c (Å): 7.7738 8.9552 8.3341
angles (deg): 90.00 90.00 90.00
Last column: nearest neighbours and their distance in Å.
Element x y z (fractional)
K 0.3261 0.4924 0.7500  4 O 2.70-2.84
K 0.8261 0.0076 0.7500  4 O 2.70-2.84
K 0.6739 0.5076 0.2500  4 O 2.70-2.84
K 0.1739 0.9924 0.2500  4 O 2.70-2.84
K 0.4738 0.7806 0.0171  6 O 2.74-3.02
K 0.9738 0.7194 0.4829  6 O 2.74-3.02
K 0.5262 0.2194 0.5171  6 O 2.74-3.02
K 0.0262 0.2806 0.9829  6 O 2.74-3.02
K 0.5262 0.2194 0.9829  6 O 2.74-3.02
K 0.0262 0.2806 0.5171  6 O 2.74-3.02
K 0.4738 0.7806 0.4829  6 O 2.74-3.02
K 0.9738 0.7194 0.0171  6 O 2.74-3.02
Si 0.2749 0.0125 0.7500  4 O 1.65
Si 0.7749 0.4875 0.7500  4 O 1.65
Si 0.7251 0.9875 0.2500  4 O 1.65
Si 0.2251 0.5125 0.2500  4 O 1.65
O 0.1807 0.9469 0.5871  1 Si 1.65
O 0.6807 0.5531 0.9129  1 Si 1.65
O 0.8193 0.0531 0.0871  1 Si 1.65
O 0.3193 0.4469 0.4129  1 Si 1.65
O 0.8193 0.0531 0.4129  1 Si 1.65
O 0.3193 0.4469 0.0871  1 Si 1.65
O 0.1807 0.9469 0.9129  1 Si 1.65
O 0.6807 0.5531 0.5871  1 Si 1.65
O 0.2607 0.1965 0.7500  1 Si 1.65
O 0.7607 0.3035 0.7500  1 Si 1.65
O 0.7393 0.8035 0.2500  1 Si 1.65
O 0.2393 0.6965 0.2500  1 Si 1.65
O 0.4798 0.9636 0.7500  1 Si 1.65
O 0.9798 0.5364 0.7500  1 Si 1.65
O 0.5202 0.0364 0.2500  1 Si 1.65
O 0.0202 0.4636 0.2500  1 Si 1.65

Computed properties:
The space group is Pnma. The raw formation energy comes out at -1.97 eV per atom. Its volume is 18.13 Å³ per atom. The calculation puts the mass density at 2.4 Mg/m³. The total moment is 0.13 μB/atom.